No. 1
# Li4Cd3Pt

A geometry-optimized Li4Cd3Pt structure (GGA-PBE, Alexandria).

Output
- Relative energy among the computed polymorphs: 0 meV per atom
- DFT total energy: -2.39 eV/atom

a = 4.946 Å, b = 5.896 Å, c = 9.365 Å
α = 90.00°, β = 90.00°, γ = 90.00°
Fractional positions:
Cd 0.394 0.000 0.250
Cd 0.606 0.000 0.750
Li 0.873 0.269 0.250
Li 0.873 0.731 0.250
Li 0.500 0.728 0.500
Pt 0.000 0.500 0.000
Pt 0.000 0.500 0.500
Cd 0.648 0.500 0.750
Cd 0.000 0.000 0.500
Li 0.500 0.272 0.000
Cd 0.352 0.500 0.250
Li 0.500 0.728 0.000
Cd 0.000 0.000 0.000
Li 0.500 0.272 0.500
Li 0.127 0.731 0.750
Li 0.127 0.269 0.750

No. 2
# Li4CdPt

A geometry-optimized Li4CdPt structure (GGA-PBE, Alexandria).

Output
- Relative energy among the computed polymorphs: 0 meV per atom
- DFT total energy: -2.80 eV/atom

a = 4.388 Å, b = 4.393 Å, c = 5.578 Å
α = 90.36°, β = 90.06°, γ = 119.97°
Fractional positions:
Li 0.672 0.834 0.276
Li 0.336 0.165 0.720
Pt 0.004 0.499 0.498
Li 0.670 0.831 0.723
Cd 0.004 0.499 0.998
Li 0.339 0.168 0.273

No. 3
# Li2Cd2Pt

A geometry-optimized Li2Cd2Pt structure (GGA-PBE, Alexandria).

Output
- Relative energy among the computed polymorphs: 104 meV per atom
- DFT total energy: -2.64 eV/atom

a = 5.429 Å, b = 5.662 Å, c = 7.452 Å
α = 112.33°, β = 111.36°, γ = 90.00°
Fractional positions:
Li 0.168 0.819 0.336
Cd 0.394 0.033 0.788
Cd 0.106 0.245 0.212
Li 0.668 0.517 0.336
Cd 0.894 0.755 0.788
Pt 0.250 0.500 0.000
Cd 0.606 0.967 0.212
Li 0.332 0.483 0.664
Li 0.832 0.181 0.664
Pt 0.750 0.500 0.000

No. 4
# Li6CdPt

A geometry-optimized Li6CdPt structure (GGA-PBE, Alexandria).

Output
- Relative energy among the computed polymorphs: 0 meV per atom
- DFT total energy: -2.59 eV/atom

a = 4.551 Å, b = 4.784 Å, c = 5.907 Å
α = 90.00°, β = 90.00°, γ = 90.00°
Fractional positions:
Li 0.500 0.819 0.724
Pt 0.500 0.317 0.500
Li 0.500 0.819 0.276
Li 0.000 0.191 0.270
Cd 0.000 0.700 0.000
Li 0.000 0.191 0.730
Li 0.500 0.315 0.000
Li 0.000 0.647 0.500

No. 5
# Li6CdPt

A geometry-optimized Li6CdPt structure (GGA-PBE, Alexandria).

Output
- Relative energy among the computed polymorphs: 22 meV per atom
- DFT total energy: -2.57 eV/atom

a = 4.552 Å, b = 5.710 Å, c = 5.710 Å
α = 119.98°, β = 90.00°, γ = 90.00°
Fractional positions:
Pt 0.500 0.417 0.583
Li 0.500 0.916 0.084
Li 0.000 0.111 0.430
Li 0.000 0.570 0.430
Cd 0.000 0.083 0.917
Li 0.500 0.916 0.582
Li 0.500 0.418 0.084
Li 0.000 0.570 0.889

No. 6
# LiCd2Pt2

A geometry-optimized LiCd2Pt2 structure (GGA-PBE, Alexandria).

Output
- Relative energy among the computed polymorphs: 0 meV per atom
- DFT total energy: -3.55 eV/atom

a = 6.615 Å, b = 4.862 Å, c = 4.862 Å
α = 51.09°, β = 49.74°, γ = 49.76°
Fractional positions:
Pt 0.398 0.403 0.403
Cd 0.799 0.791 0.791
Pt 0.602 0.597 0.597
Li 0.000 0.000 0.000
Cd 0.201 0.209 0.209